Material: Er5SnGe6
Method: DFT, PBE
State: optimized geometry

Unit cell a=7.6080 b=14.4730 c=5.6118 alpha=90.00 beta=116.63 gamma=90.00
Space group C2/m (No. 12)
Symmetry-distinct sites (fractional):
Er 0.0000 0.0000 0.0000 (multiplicity 2)
Er 0.0000 0.1871 0.5000 (multiplicity 4)
Er 0.0000 0.3810 0.0000 (multiplicity 4)
Sn 0.0000 0.5000 0.5000 (multiplicity 2)
Ge 0.1833 0.0000 0.6229 (multiplicity 4)
Ge 0.1930 0.1891 0.1402 (multiplicity 8)

Calculated values
**Formation energy**: -0.64 eV per atom



Material: Er8Sn2Ge
Method: DFT, PBE
State: optimized geometry

Unit cell a=19.3342 b=4.9336 c=6.6569 alpha=90.00 beta=104.05 gamma=90.00
Space group C2/m (No. 12)
Symmetry-distinct sites (fractional):
Er 0.0232 0.0000 0.2760 (multiplicity 4)
Er 0.0900 0.5000 0.9664 (multiplicity 4)
Er 0.1518 0.5000 0.5030 (multiplicity 4)
Er 0.2196 0.0000 0.8232 (multiplicity 4)
Sn 0.1819 0.0000 0.2605 (multiplicity 4)
Ge 0.0000 0.5000 0.5000 (multiplicity 2)

Calculated values
**Formation energy**: -0.41 eV per atom



Material: Er2SnGe2
Method: DFT, PBE
State: optimized geometry

Unit cell a=3.9307 b=14.8779 c=4.0053 alpha=90.00 beta=90.00 gamma=90.00
Space group Cmmm (No. 65)
Symmetry-distinct sites (fractional):
Er 0.0000 0.1351 0.0000 (multiplicity 4)
Sn 0.0000 0.5000 0.5000 (multiplicity 2)
Ge 0.0000 0.3072 0.5000 (multiplicity 4)

Calculated values
**Formation energy**: -0.62 eV per atom



Material: Er8SnGe5
Method: DFT, PBE
State: optimized geometry

Unit cell a=8.8603 b=8.8603 c=8.7917 alpha=90.00 beta=90.00 gamma=90.00
Space group I-4 (No. 82)
Symmetry-distinct sites (fractional):
Er 0.0647 0.1864 0.1877 (multiplicity 8)
Er 0.0694 0.3254 0.5604 (multiplicity 8)
Sn 0.0000 0.0000 0.5000 (multiplicity 2)
Ge 0.0000 0.5000 0.2500 (multiplicity 2)
Ge 0.1273 0.2507 0.8741 (multiplicity 8)

Calculated values
**Formation energy**: -0.82 eV per atom



Material: Er3SnGe
Method: DFT, PBE
State: optimized geometry

Unit cell a=7.2538 b=4.3065 c=8.9537 alpha=90.00 beta=91.61 gamma=90.00
Space group P2_1/m (No. 11)
Symmetry-distinct sites (fractional):
Er 0.0195 0.2500 0.1798 (multiplicity 2)
Er 0.1964 0.2500 0.5632 (multiplicity 2)
Er 0.4779 0.2500 0.2151 (multiplicity 2)
Sn 0.2666 0.2500 0.9068 (multiplicity 2)
Ge 0.2301 0.7500 0.3530 (multiplicity 2)

Calculated values
**Formation energy**: -0.56 eV per atom



Material: ErSnGe2
Method: DFT, PBE
State: optimized geometry

Unit cell a=4.6117 b=4.6117 c=4.1102 alpha=90.00 beta=90.00 gamma=90.00
Space group P4/mmm (No. 123)
Symmetry-distinct sites (fractional):
Er 0.0000 0.0000 0.0000 (multiplicity 1)
Sn 0.5000 0.5000 0.0000 (multiplicity 1)
Ge 0.0000 0.5000 0.5000 (multiplicity 2)

Calculated values
**Formation energy**: -0.37 eV per atom



Material: Er2SnGe
Method: DFT, PBE
State: optimized geometry

Unit cell a=3.3690 b=3.3690 c=8.4493 alpha=90.00 beta=90.00 gamma=90.00
Space group P4/mmm (No. 123)
Symmetry-distinct sites (fractional):
Er 0.0000 0.0000 0.2259 (multiplicity 2)
Sn 0.5000 0.5000 0.5000 (multiplicity 1)
Ge 0.5000 0.5000 0.0000 (multiplicity 1)

Calculated values
**Formation energy**: -0.61 eV per atom



Material: ErSn2Ge
Method: DFT, PBE
State: optimized geometry

Unit cell a=4.4928 b=4.4928 c=4.7434 alpha=90.00 beta=90.00 gamma=90.00
Space group P4/mmm (No. 123)
Symmetry-distinct sites (fractional):
Er 0.0000 0.0000 0.0000 (multiplicity 1)
Sn 0.0000 0.5000 0.5000 (multiplicity 2)
Ge 0.5000 0.5000 0.0000 (multiplicity 1)

Calculated values
**Formation energy**: -0.36 eV per atom



What is the formula in the eighth record?
ErSn2Ge